# 1
Compound: LaMnOs2
Source: Alexandria via LeMat-Bulk
Functional: PBE
Structure: optimized geometry

Values from the calculation:
* uncorrected energy: -34.93 eV per formula unit
* theoretical density: 13047 kg/m³
* ΔH_f (0 K): 0.407 eV per atom
* crystal system: monoclinic

a = 2.936 Å, b = 4.468 Å, c = 5.687 Å
α = 90.00°, β = 101.49°, γ = 90.00°
Space group Pm (No. 6)
One atom of each set of equivalent atoms:
La 0.000 0.000 0.000 x1
Mn 0.576 0.500 0.267 x1
Os 0.220 0.500 0.630 x1
Os 0.604 0.000 0.512 x1

# 2
Compound: CaCrP2
Source: Alexandria via LeMat-Bulk
Functional: PBE
Structure: optimized geometry

Values from the calculation:
* uncorrected energy: -24.22 eV per formula unit
* theoretical density: 2951 kg/m³
* ΔH_f (0 K): -0.443 eV per atom
* crystal system: orthorhombic

a = 4.229 Å, b = 3.715 Å, c = 11.034 Å
α = 90.00°, β = 90.00°, γ = 90.00°
Space group Amm2 (No. 38)
One atom of each set of equivalent atoms:
Ca 0.000 0.000 0.000 x2
Cr 0.500 0.000 0.775 x2
P 0.000 0.000 0.704 x2
P 0.500 0.000 0.397 x2

# 3
Compound: ScFeW4
Source: Alexandria via LeMat-Bulk
Functional: PBE
Structure: optimized geometry

Values from the calculation:
* uncorrected energy: -64.29 eV per formula unit
* theoretical density: 13117 kg/m³
* ΔH_f (0 K): 0.386 eV per atom
* crystal system: cubic

a = 7.509 Å, b = 7.509 Å, c = 7.509 Å
α = 90.00°, β = 90.00°, γ = 90.00°
Space group F-43m (No. 216)
One atom of each set of equivalent atoms:
Sc 0.000 0.000 0.000 x4
Fe 0.250 0.250 0.250 x4
W 0.125 0.125 0.625 x16

# 4
Compound: Ta3GaOs
Source: Alexandria via LeMat-Bulk
Functional: PBE
Structure: optimized geometry

Values from the calculation:
* uncorrected energy: -42.35 eV per formula unit
* theoretical density: 13455 kg/m³
* ΔH_f (0 K): 1.494 eV per atom
* crystal system: cubic

a = 4.627 Å, b = 4.627 Å, c = 4.627 Å
α = 90.00°, β = 90.00°, γ = 90.00°
Space group Pm-3m (No. 221)
One atom of each set of equivalent atoms:
Ta 0.000 0.000 0.500 x3
Ga 0.000 0.000 0.000 x1
Os 0.500 0.500 0.500 x1